No. 1
Entry from OQMD via LeMat-Bulk: crystalline LiSmTe3Pb at its relaxed geometry (GGA-PBE).

The space group is Cmcm (No. 63) and the conventional cell measures 4.435, 14.532 and 11.608 Å, with angles of 90.00, 90.00 and 90.00 degrees. The asymmetric unit holds Li at (0.000, 0.023, 0.250), Sm at (0.000, 0.500, 0.000), Te at (0.000, 0.143, 0.067), Te at (0.000, 0.411, 0.250) and Pb at (0.000, 0.261, 0.750).

For the energy above the most stable polymorph in this dataset, the calculation gives 9 kJ/mol of formula units. The total magnetization is 0.00 μB/f.u.

No. 2
Entry from OQMD via LeMat-Bulk: crystalline AlGaCu at its relaxed geometry (GGA-PBE).

The space group is P4/nmm (No. 129, origin choice 2) and the conventional cell measures 4.112, 4.112 and 5.758 Å, with angles of 90.00, 90.00 and 90.00 degrees. The asymmetric unit holds Al at (0.250, 0.750, 0.000), Ga at (0.250, 0.750, 0.500) and Cu at (0.250, 0.250, 0.246).

The calculation puts the total energy at -10.89 eV per formula unit.